No. 1
Material: Pm2YMg
Method: DFT, PBE
State: relaxed

abc: 5.227 5.227 9.830
angles: 105.43 105.43 90.00
Fractional positions:
Y: 0.362 0.362 0.224
Y: 0.638 0.638 0.776
Mg: 0.250 0.750 0.000
Mg: 0.750 0.250 0.000
Pm: 0.865 0.865 0.230
Pm: 0.135 0.135 0.770
Pm: 0.500 0.000 0.500
Pm: 0.000 0.500 0.500

Calculated values
V (A^3/atom): 31.1
SG: I4/mmm
Energy above the lowest structure with this stoichiometry (meV/atom): 0
Calculated formation energy (meV per atom): -41

=====

No. 2
Material: Pm2Y7Mg2
Method: DFT, PBE
State: relaxed

abc: 5.766 8.111 8.111
angles: 89.71 74.97 74.97
Fractional positions:
Mg: 0.778 0.426 0.426
Mg: 0.222 0.574 0.574
Y: 0.184 0.601 0.020
Y: 0.655 0.770 0.770
Y: 0.816 0.399 0.980
Y: 0.184 0.020 0.601
Y: 0.000 0.000 0.000
Y: 0.816 0.980 0.399
Y: 0.345 0.230 0.230
Pm: 0.500 0.223 0.777
Pm: 0.500 0.777 0.223

Calculated values
V (A^3/atom): 32.1
SG: C2/m
Calculated formation energy (meV per atom): 167